Crystalline Cs2ZnCdSb at its relaxed geometry. Source: Alexandria via LeMat-Bulk, functional PBE.

Its formation energy from raw total energies is -57 meV/atom. The total energy is -1.661 eV/atom. The size of the total moment is 0.00 Bohr magnetons per cell. The density comes out at 3.61 g cm⁻³.

The structure belongs to space group P4/mmm (No. 123); the cell edges are 7.085, 7.085 and 5.179 Å and the angles 90.00°, 90.00° and 90.00°. Symmetry generates all atoms from Cs at (0.000, 0.500, 0.000), Zn at (0.000, 0.000, 0.000), Cd at (0.500, 0.500, 0.500) and Sb at (0.000, 0.000, 0.500).